Entry 1:
DFT (GGA-PBE) results for a relaxed Li3HoHg3 crystal.

Summary:
Fermi-level density of states ... 0.85 states/eV per atom
Space-group type ... No. 223

Cell: 6.9759 6.9759 6.9759 Å, 90.00 90.00 90.00°
Closest atoms and distances in Å follow each position.
Element x y z (fractional)
Hg (0.0000, 0.5000, 0.2500)  4 Li 2.47
Hg (0.2500, 0.0000, 0.5000)  4 Li 2.47
Hg (0.0000, 0.5000, 0.7500)  4 Li 2.47
Hg (0.5000, 0.2500, 0.0000)  4 Li 2.47
Hg (0.5000, 0.7500, 0.0000)  4 Li 2.47
Hg (0.7500, 0.0000, 0.5000)  4 Li 2.47
Li (0.0000, 0.7500, 0.5000)  4 Hg 2.47
Li (0.5000, 0.0000, 0.7500)  4 Hg 2.47
Li (0.2500, 0.5000, 0.0000)  4 Hg 2.47
Li (0.7500, 0.5000, 0.0000)  4 Hg 2.47
Li (0.5000, 0.0000, 0.2500)  4 Hg 2.47
Li (0.0000, 0.2500, 0.5000)  4 Hg 2.47
Ho (0.5000, 0.5000, 0.5000)  12 Hg 3.90, 12 Li 3.90
Ho (0.0000, 0.0000, 0.0000)  12 Hg 3.90, 12 Li 3.90


Entry 2:
DFT (GGA-PBE) results for a relaxed Li2HoHg5 crystal.

Summary:
Fermi-level density of states ... 0.37 states/eV per atom
Space-group type ... No. 140

Cell: 7.5568 7.5568 8.2074 Å, 117.41 117.41 90.00°
Closest atoms and distances in Å follow each position.
Element x y z (fractional)
Hg (0.7037, 0.2037, 0.7037)  3 Li 2.80-2.94
Hg (0.5000, 0.2963, 0.2963)  3 Li 2.81-2.94
Hg (0.2963, 0.7963, 0.2963)  3 Li 2.80-2.94
Hg (0.0000, 0.5000, 0.2963)  3 Li 2.81-2.94
Hg (0.0000, 0.0000, 0.0000)  4 Li 2.86, 2 Ho 3.11
Hg (0.0000, 0.5000, 0.7037)  3 Li 2.81-2.94
Hg (0.2037, 0.0000, 0.7037)  3 Li 2.81-2.94
Hg (0.5000, 0.5000, 0.0000)  4 Li 2.86, 2 Ho 3.11
Hg (0.5000, 0.7037, 0.7037)  3 Li 2.81-2.94
Hg (0.7963, 0.0000, 0.2963)  3 Li 2.81-2.94
Li (0.6541, 0.1541, 0.9999)  8 Hg 2.80-2.94
Li (0.1542, 0.3458, 0.0000)  8 Hg 2.81-2.94
Li (0.8458, 0.6542, 0.0000)  8 Hg 2.81-2.94
Li (0.3459, 0.8459, 0.0001)  8 Hg 2.80-2.94
Ho (0.7500, 0.7500, 0.5000)  10 Hg 3.11-3.15
Ho (0.2500, 0.2500, 0.5000)  10 Hg 3.11-3.15


Entry 3:
DFT (GGA-PBE) results for a relaxed Li2Ho3Hg4 crystal.

Summary:
Fermi-level density of states ... 0.54 states/eV per atom
Space-group type ... No. 12

Cell: 5.1423 5.2074 9.0353 Å, 98.43 90.00 119.59°
Closest atoms and distances in Å follow each position.
Element x y z (fractional)
Hg (0.6884, 0.3769, 0.0989)  1 Li 2.71
Hg (0.9424, 0.8849, 0.6470)  3 Li 2.69-2.98, 1 Hg 3.01
Hg (0.3116, 0.6231, 0.9011)  1 Li 2.71
Hg (0.0576, 0.1151, 0.3530)  3 Li 2.69-2.98, 1 Hg 3.01
Li (0.7258, 0.4516, 0.4029)  4 Hg 2.69-2.98
Li (0.2742, 0.5484, 0.5971)  4 Hg 2.69-2.98
Ho (0.3738, 0.7476, 0.2602)  7 Hg 3.10-3.41, 4 Li 3.23-3.32
Ho (0.6262, 0.2524, 0.7398)  7 Hg 3.10-3.41, 4 Li 3.23-3.32
Ho (0.0000, 0.0000, 0.0000)  8 Hg 3.10-3.14


Entry 4:
DFT (GGA-PBE) results for a relaxed LiHo3Hg2 crystal.

Summary:
Fermi-level density of states ... 0.84 states/eV per atom
Space-group type ... No. 164

Cell: 5.1998 5.1998 12.8561 Å, 90.00 90.00 120.00°
Closest atoms and distances in Å follow each position.
Element x y z (fractional)
Hg (0.3333, 0.6667, 0.1835)  8 Ho 3.05-3.41
Hg (0.6667, 0.3333, 0.8165)  8 Ho 3.05-3.41
Hg (0.0000, 0.0000, 0.0000)  8 Ho 3.18-3.20
Hg (0.0000, 0.0000, 0.5000)  8 Ho 3.17-3.23
Li (0.6667, 0.3333, 0.3280)  8 Ho 3.17-3.23, 3 Hg 3.53
Li (0.3333, 0.6667, 0.6720)  8 Ho 3.17-3.23, 3 Hg 3.53
Ho (0.6667, 0.3333, 0.0813)  1 Li 3.17, 7 Hg 3.18-3.41
Ho (0.0000, 0.0000, 0.7514)  5 Hg 3.12-3.23, 3 Li 3.17
Ho (0.6667, 0.3333, 0.5794)  4 Hg 3.05-3.17, 4 Li 3.23
Ho (0.3333, 0.6667, 0.4206)  4 Hg 3.05-3.17, 4 Li 3.23
Ho (0.3333, 0.6667, 0.9187)  1 Li 3.17, 7 Hg 3.18-3.41
Ho (0.0000, 0.0000, 0.2486)  5 Hg 3.12-3.23, 3 Li 3.17


Entry 5:
DFT (GGA-PBE) results for a relaxed Li2Ho3Hg6 crystal.

Summary:
Fermi-level density of states ... 0.64 states/eV per atom
Space-group type ... No. 139

Cell: 4.6547 4.6547 12.3110 Å, 100.90 100.90 90.00°
Closest atoms and distances in Å follow each position.
Element x y z (fractional)
Hg (0.3167, 0.3167, 0.6333)  5 Ho 2.96-3.30, 4 Hg 3.12, 1 Li 3.16
Hg (0.6833, 0.6833, 0.3667)  5 Ho 2.96-3.30, 4 Hg 3.12, 1 Li 3.16
Hg (0.4045, 0.9045, 0.8091)  2 Li 2.56
Hg (0.0955, 0.5955, 0.1909)  2 Li 2.56
Hg (0.5955, 0.0955, 0.1909)  2 Li 2.56
Hg (0.9045, 0.4045, 0.8091)  2 Li 2.56
Ho (0.1919, 0.1919, 0.3838)  9 Hg 2.96-3.30
Ho (0.8081, 0.8081, 0.6162)  9 Hg 2.96-3.30
Ho (0.0000, 0.0000, 0.0000)  8 Hg 3.25, 8 Li 3.50
Li (0.5501, 0.5501, 0.1002)  1 Li 2.38, 4 Hg 2.56
Li (0.4499, 0.4499, 0.8998)  1 Li 2.38, 4 Hg 2.56


Entry 6:
DFT (GGA-PBE) results for a relaxed Li4Ho9Hg11 crystal.

Summary:
Fermi-level density of states ... 0.64 states/eV per atom
Space-group type ... No. 65

Cell: 3.4961 13.1015 13.1015 Å, 110.23 90.00 90.00°
Closest atoms and distances in Å follow each position.
Element x y z (fractional)
Li (0.5000, 0.7470, 0.5516)  6 Hg 2.85-2.95, 2 Ho 3.07-3.17
Li (0.5000, 0.4484, 0.2530)  6 Hg 2.85-2.95, 2 Ho 3.07-3.17
Li (0.5000, 0.5516, 0.7470)  6 Hg 2.85-2.95, 2 Ho 3.07-3.17
Li (0.5000, 0.2530, 0.4484)  6 Hg 2.85-2.95, 2 Ho 3.07-3.17
Hg (0.0000, 0.1617, 0.8383)  8 Ho 3.19-3.21, 3 Hg 3.48-3.50
Hg (0.0000, 0.4167, 0.0712)  2 Li 2.87, 6 Ho 3.12-3.18
Hg (0.0000, 0.2964, 0.2964)  4 Li 2.85
Hg (0.0000, 0.7036, 0.7036)  4 Li 2.85
Hg (0.0000, 0.8383, 0.1617)  8 Ho 3.19-3.21, 3 Hg 3.48-3.50
Hg (0.0000, 0.0000, 0.0000)  8 Ho 3.18, 4 Hg 3.48-3.50
Hg (0.0000, 0.9288, 0.5833)  2 Li 2.87, 6 Ho 3.12-3.18
Hg (0.0000, 0.3657, 0.6343)  4 Li 2.95
Hg (0.0000, 0.5833, 0.9288)  2 Li 2.87, 6 Ho 3.12-3.18
Hg (0.0000, 0.0712, 0.4167)  2 Li 2.87, 6 Ho 3.12-3.18
Hg (0.0000, 0.6343, 0.3657)  4 Li 2.95
Ho (0.5000, 0.2148, 0.0560)  8 Hg 3.12-3.43, 1 Li 3.25, 1 Ho 3.41
Ho (0.5000, 0.6293, 0.1429)  8 Hg 3.14-3.38, 1 Li 3.17, 3 Ho 3.41-3.50
Ho (0.5000, 0.5000, 0.5000)  4 Li 3.07, 4 Hg 3.37
Ho (0.5000, 0.3707, 0.8571)  8 Hg 3.14-3.38, 1 Li 3.17, 3 Ho 3.41-3.50
Ho (0.5000, 0.1429, 0.6293)  8 Hg 3.14-3.38, 1 Li 3.17, 3 Ho 3.41-3.50
Ho (0.5000, 0.7852, 0.9440)  8 Hg 3.12-3.43, 1 Li 3.25, 1 Ho 3.41
Ho (0.5000, 0.0560, 0.2148)  8 Hg 3.12-3.43, 1 Li 3.25, 1 Ho 3.41
Ho (0.5000, 0.9440, 0.7852)  8 Hg 3.12-3.43, 1 Li 3.25, 1 Ho 3.41
Ho (0.5000, 0.8571, 0.3707)  8 Hg 3.14-3.38, 1 Li 3.17, 3 Ho 3.41-3.50


Ordered electronic total energy results: -10.74; -12.31; -22.25; -18.15; -22.38; -61.08; unit eV/f.u..